[1]
Density functional theory data (PBE) for La3Si7Ni3 after structural relaxation.

E_form (uncorrected): -0.773 eV per atom
Volume: 17.6 Å³/atom
Size of the total moment: 0.0000 μB per atom
Space group: Amm2

Geometry as POSCAR:
```
La3Si7Ni3
1.0
4.214 0.000 0.000
0.000 2.074 13.115
0.000 -2.074 13.115
La Si Ni
3 7 3
Cartesian
0.000 0.000 0.000
0.000 0.000 9.640
2.107 0.000 18.020
0.000 0.000 3.908
0.000 0.000 15.544
0.000 0.000 20.416
2.107 0.000 2.434
2.107 0.000 7.286
2.107 0.000 12.107
2.107 0.000 23.869
0.000 0.000 6.186
2.107 0.000 14.521
2.107 0.000 21.520
```



[2]
Density functional theory data (PBE) for LaSi4Ni2 after structural relaxation.

E_form (uncorrected): -0.526 eV per atom
Volume: 15.6 Å³/atom
Size of the total moment: 0.0000 μB per atom
Space group: Pnma

Geometry as POSCAR:
```
LaSi4Ni2
1.0
16.533 0.000 0.000
0.000 4.033 0.000
0.000 0.000 6.560
La Si Ni
4 16 8
Cartesian
1.887 1.008 0.019
6.379 3.025 3.299
10.154 1.008 3.261
14.645 3.025 6.541
0.580 3.025 4.717
1.478 1.008 3.282
3.111 3.025 2.206
3.388 3.025 4.760
4.878 1.008 1.480
5.155 1.008 5.486
6.788 3.025 0.002
7.686 1.008 1.437
8.847 3.025 5.123
9.744 1.008 6.558
11.377 3.025 1.074
11.654 3.025 5.080
13.145 1.008 1.800
13.422 1.008 4.354
15.054 3.025 3.278
15.952 1.008 1.843
0.690 3.025 2.232
3.727 1.008 3.569
4.539 3.025 0.289
7.576 1.008 5.512
8.956 3.025 1.048
11.994 1.008 6.271
12.805 3.025 2.991
15.842 1.008 4.328
```



[3]
Density functional theory data (PBE) for La3Si2Ni6 after structural relaxation.

E_form (uncorrected): -0.520 eV per atom
Volume: 16.7 Å³/atom
Size of the total moment: 0.0000 μB per atom
Space group: Im-3m

Geometry as POSCAR:
```
La3Si2Ni6
1.0
-4.514 4.514 4.514
4.514 -4.514 4.514
4.514 4.514 -4.514
La Si Ni
6 4 12
Cartesian
2.580 0.000 0.000
6.448 0.000 0.000
0.000 2.580 0.000
0.000 0.000 2.580
0.000 6.448 0.000
0.000 0.000 6.448
2.257 2.257 -2.257
2.257 -2.257 2.257
-2.257 2.257 2.257
2.257 2.257 2.257
4.514 1.529 -1.529
4.514 -1.529 1.529
1.529 4.514 -1.529
2.985 2.985 0.000
2.985 0.000 2.985
1.529 -1.529 4.514
4.514 1.529 1.529
0.000 2.985 2.985
-1.529 4.514 1.529
-1.529 1.529 4.514
1.529 4.514 1.529
1.529 1.529 4.514
```



[4]
Density functional theory data (PBE) for La3Si4Ni2 after structural relaxation.

E_form (uncorrected): -0.741 eV per atom
Energy above the lowest structure with this stoichiometry: 46.0 meV/atom
Volume: 20.3 Å³/atom
Size of the total moment: 0.0000 μB per atom
Space group: C2/m

Geometry as POSCAR:
```
La3Si4Ni2
1.0
5.681 -2.042 0.000
5.681 2.042 0.000
-2.912 0.000 7.891
La Si Ni
3 4 2
Cartesian
0.000 0.000 0.000
3.553 0.000 2.553
4.897 0.000 5.338
0.424 0.000 3.251
0.411 0.000 7.352
8.039 0.000 0.539
8.025 0.000 4.640
1.620 0.000 5.377
6.830 0.000 2.514
```